--- A ---
Here is a relaxed Sc2AgHPd crystal from the Alexandria database. Energies are from PBE-GGA.

**Symmetry**: P4/mmm, No. 123

```
5
Lattice="4.654 0.000 0.000 0.000 4.654 0.000 0.000 0.000 3.658" Properties=species:S:1:pos:R:3 pbc="T T T"
Sc 0.000 2.327 0.000
Sc 2.327 0.000 0.000
H 0.000 0.000 0.000
Pd 0.000 0.000 1.829
Ag 2.327 2.327 1.829
```

---

--- B ---
Here is a relaxed Sc2AgHPd crystal from the Alexandria database. Energies are from PBE-GGA.

**Symmetry**: P4/mmm, No. 123

```
5
Lattice="-0.872 4.333 -0.758 -3.881 -0.395 2.210 1.797 0.943 3.325" Properties=species:S:1:pos:R:3 pbc="T T T"
Sc -1.941 -0.197 1.105
Sc -0.436 2.166 -0.379
H 0.000 0.000 0.000
Pd -1.478 2.441 2.389
Ag 0.899 0.472 1.662
```

---

Out of the structures above, which one is the least stable? Solution: B.